[1]
Here is an optimized crystal structure of NaS2IO8 from Alexandria via LeMat-Bulk. Energies are from PBE-GGA.

Calculated values
Raw total energy: -62.2 eV per formula unit
ΔE_f (raw): -11.42 eV/f.u.

Lattice parameters (Å, degrees): 5.1884 5.1884 7.9709 90.00 90.00 120.00
Closest atoms and distances in Å follow each position.
Space group P-3m1 (No. 164)
One atom of each set of equivalent atoms:
Na 0.0000 0.0000 0.0000 [1 per cell]  6 O 2.60
S 0.3333 0.6667 0.2031 [2 per cell]  4 O 1.46-1.50
I 0.0000 0.0000 0.5000 [1 per cell]  6 O 2.47
O 0.1740 0.3479 0.2606 [6 per cell]  1 S 1.50
O 0.3333 0.6667 0.0196 [2 per cell]  1 S 1.46

---

[2]
Here is an optimized crystal structure of NaSIO2 from Alexandria via LeMat-Bulk. Energies are from PBE-GGA.

Calculated values
Raw total energy: -17.5 eV per formula unit
ΔE_f (raw): -0.57 eV/f.u.

Lattice parameters (Å, degrees): 3.9142 3.9142 5.7596 90.00 90.00 90.00
Closest atoms and distances in Å follow each position.
Space group P4/mmm (No. 123)
One atom of each set of equivalent atoms:
Na 0.0000 0.0000 0.0000 [1 per cell]  4 I 2.77
S 0.5000 0.5000 0.5000 [1 per cell]  4 O 1.96
I 0.5000 0.5000 0.0000 [1 per cell]  4 Na 2.77, 2 S 2.88
O 0.0000 0.5000 0.5000 [2 per cell]  2 S 1.96

---

[3]
Here is an optimized crystal structure of NaSIO2 from Alexandria via LeMat-Bulk. Energies are from PBE-GGA.

Calculated values
Raw total energy: -13.7 eV per formula unit
ΔE_f (raw): 3.24 eV/f.u.

Lattice parameters (Å, degrees): 4.2448 4.2448 6.9474 90.00 90.00 90.00
Closest atoms and distances in Å follow each position.
Space group P4/mmm (No. 123)
One atom of each set of equivalent atoms:
Na 0.0000 0.0000 0.0000 [1 per cell]  4 O 2.12
S 0.5000 0.5000 0.5000 [1 per cell]  4 I 3.00
I 0.0000 0.0000 0.5000 [1 per cell]  4 S 3.00
O 0.0000 0.5000 0.0000 [2 per cell]  2 Na 2.12

---

[4]
Here is an optimized crystal structure of Na6SI2O from Alexandria via LeMat-Bulk. Energies are from PBE-GGA.

Calculated values
Raw total energy: -32.0 eV per formula unit
ΔE_f (raw): -11.88 eV/f.u.

Lattice parameters (Å, degrees): 7.0836 10.0177 7.0862 90.00 90.00 90.00
Closest atoms and distances in Å follow each position.
Space group Pmmn (No. 59, origin choice 2)
One atom of each set of equivalent atoms:
Na 0.0180 0.2500 0.0198 [4 per cell]  1 O 2.32
Na 0.0186 0.2500 0.4827 [4 per cell]  1 O 2.32
Na 0.2500 0.0184 0.2506 [4 per cell]  1 O 2.32
S 0.2500 0.7500 0.2491 [2 per cell]  6 Na 2.69
I 0.2500 0.9999 0.7497 [4 per cell]  12 Na 3.54-3.56
O 0.2500 0.2500 0.2508 [2 per cell]  6 Na 2.32

---

[5]
Here is an optimized crystal structure of NaSbIO2 from Alexandria via LeMat-Bulk. Energies are from PBE-GGA.

Calculated values
Raw total energy: -22.7 eV per formula unit
ΔE_f (raw): -5.77 eV/f.u.

Lattice parameters (Å, degrees): 5.8479 13.9492 5.4688 90.00 90.00 90.00
Closest atoms and distances in Å follow each position.
Space group Cmcm (No. 63)
One atom of each set of equivalent atoms:
Na 0.0000 0.0827 0.2500 [4 per cell]  4 O 2.43
Sb 0.0000 0.4405 0.2500 [4 per cell]  4 O 2.05
I 0.0000 0.2626 0.7500 [4 per cell]  4 Na 3.63-3.71, 2 Sb 3.69, 4 O 3.80, 4 I 4.02
O 0.2188 0.5000 0.0000 [8 per cell]  2 Sb 2.05

---

[6]
Here is an optimized crystal structure of NaSbIO2 from Alexandria via LeMat-Bulk. Energies are from PBE-GGA.

Calculated values
Raw total energy: -21.4 eV per formula unit
ΔE_f (raw): -4.44 eV/f.u.

Lattice parameters (Å, degrees): 4.1437 4.1437 6.5241 90.00 90.00 90.00
Closest atoms and distances in Å follow each position.
Space group P4/mmm (No. 123)
One atom of each set of equivalent atoms:
Na 0.0000 0.0000 0.0000 [1 per cell]  4 I 2.93
Sb 0.5000 0.5000 0.5000 [1 per cell]  4 O 2.07
I 0.5000 0.5000 0.0000 [1 per cell]  4 Na 2.93, 2 Sb 3.26
O 0.0000 0.5000 0.5000 [2 per cell]  2 Sb 2.07

---

> Look up the raw total energy of the third one.

-13.7 eV per formula unit

---

Please write out number 2 again, unchanged.
Here is an optimized crystal structure of NaSIO2 from Alexandria via LeMat-Bulk. Energies are from PBE-GGA.

Calculated values
Raw total energy: -17.5 eV per formula unit
ΔE_f (raw): -0.57 eV/f.u.

Lattice parameters (Å, degrees): 3.9142 3.9142 5.7596 90.00 90.00 90.00
Closest atoms and distances in Å follow each position.
Space group P4/mmm (No. 123)
One atom of each set of equivalent atoms:
Na 0.0000 0.0000 0.0000 [1 per cell]  4 I 2.77
S 0.5000 0.5000 0.5000 [1 per cell]  4 O 1.96
I 0.5000 0.5000 0.0000 [1 per cell]  4 Na 2.77, 2 S 2.88
O 0.0000 0.5000 0.5000 [2 per cell]  2 S 1.96

---

Please write out number 2 again, unchanged.
Here is an optimized crystal structure of NaSIO2 from Alexandria via LeMat-Bulk. Energies are from PBE-GGA.

Calculated values
Raw total energy: -17.5 eV per formula unit
ΔE_f (raw): -0.57 eV/f.u.

Lattice parameters (Å, degrees): 3.9142 3.9142 5.7596 90.00 90.00 90.00
Closest atoms and distances in Å follow each position.
Space group P4/mmm (No. 123)
One atom of each set of equivalent atoms:
Na 0.0000 0.0000 0.0000 [1 per cell]  4 I 2.77
S 0.5000 0.5000 0.5000 [1 per cell]  4 O 1.96
I 0.5000 0.5000 0.0000 [1 per cell]  4 Na 2.77, 2 S 2.88
O 0.0000 0.5000 0.5000 [2 per cell]  2 S 1.96

---

> Which of these has the lowest ΔE_f (raw)?

Na6SI2O